Record 1
# BiSb2IO

A PBEsol-optimized structure of BiSb2IO (SCAN, Alexandria via LeMat-Bulk).

abc: 5.8847 5.8847 6.0620
angles: 90.00 90.00 90.00
Sites, in units of the cell vectors:
Bi: 0.0000 0.0000 0.0000
Sb: 0.0000 0.5000 0.0000
Sb: 0.5000 0.0000 0.0000
I: 0.0000 0.0000 0.5000
O: 0.5000 0.5000 0.5000

Properties
Relative energy among the computed polymorphs: 976 meV per atom
Uncorrected energy: -38.07 eV/atom
V: 210 Å³/cell
SG: No. 123
Uncorrected formation energy: 1148 meV per atom

=====

Record 2
# Ca2FeTe

A PBEsol-optimized structure of Ca2FeTe (SCAN, Alexandria via LeMat-Bulk).

abc: 7.5524 4.0881 7.6649
angles: 90.00 106.06 90.00
Sites, in units of the cell vectors:
Ca: 0.2478 0.0000 0.2553
Ca: 0.2522 0.5000 0.7447
Ca: 0.7478 0.5000 0.2553
Ca: 0.7522 0.0000 0.7447
Fe: 0.0000 0.0000 0.5000
Fe: 0.5000 0.5000 0.5000
Te: 0.0000 0.5000 0.0000
Te: 0.5000 0.0000 0.0000

Properties
Relative energy among the computed polymorphs: 130 meV per atom
Uncorrected energy: -18.97 eV/atom
V: 227 Å³/cell
SG: No. 12
Uncorrected formation energy: -297 meV per atom

=====

Record 3
# FeSb3

A PBEsol-optimized structure of FeSb3 (SCAN, Alexandria via LeMat-Bulk).

abc: 6.3461 7.7567 3.6335
angles: 90.00 90.00 90.00
Sites, in units of the cell vectors:
Fe: 0.0000 0.0000 0.0000
Fe: 0.5000 0.5000 0.0000
Sb: 0.0000 0.5000 0.0000
Sb: 0.2500 0.2500 0.5000
Sb: 0.2500 0.7500 0.5000
Sb: 0.5000 0.0000 0.0000
Sb: 0.7500 0.2500 0.5000
Sb: 0.7500 0.7500 0.5000

Properties
Relative energy among the computed polymorphs: 546 meV per atom
Uncorrected energy: -31.93 eV/atom
V: 179 Å³/cell
SG: No. 65
Uncorrected formation energy: 549 meV per atom

=====

Record 4
# SiAg2Ru

A PBEsol-optimized structure of SiAg2Ru (SCAN, Alexandria via LeMat-Bulk).

abc: 3.0318 4.6596 8.6186
angles: 90.00 90.00 90.00
Sites, in units of the cell vectors:
Si: 0.0000 0.0000 0.0000
Si: 0.5000 0.5000 0.0000
Ag: 0.0000 0.0000 0.4722
Ag: 0.0000 0.5000 0.7462
Ag: 0.5000 0.0000 0.7462
Ag: 0.5000 0.5000 0.4722
Ru: 0.0000 0.5000 0.1986
Ru: 0.5000 0.0000 0.1986

Properties
Uncorrected energy: -26.73 eV/atom
V: 122 Å³/cell
SG: No. 35
Uncorrected formation energy: 160 meV per atom

=====

Record 5
# AsP2Pb

A PBEsol-optimized structure of AsP2Pb (SCAN, Alexandria via LeMat-Bulk).

abc: 3.7993 5.5532 4.0139
angles: 90.00 90.00 90.00
Sites, in units of the cell vectors:
As: 0.0000 0.0000 0.0000
P: 0.0000 0.5000 0.0212
P: 0.5000 0.0000 0.6243
Pb: 0.5000 0.5000 0.5034

Properties
Energy of formation from the pure elements: 5.5 kcal/mol of atoms
Relative energy among the computed polymorphs: 0 meV per atom
Uncorrected energy: -28.95 eV/atom
V: 85 Å³/cell
SG: No. 25

=====

Record 6
# BeAl2Ni

A PBEsol-optimized structure of BeAl2Ni (SCAN, Alexandria via LeMat-Bulk).

abc: 5.7613 5.7613 5.7613
angles: 90.00 90.00 90.00
Sites, in units of the cell vectors:
Be: 0.0000 0.0000 0.0000
Be: 0.0000 0.5000 0.5000
Be: 0.5000 0.0000 0.5000
Be: 0.5000 0.5000 0.0000
Al: 0.0000 0.0000 0.5000
Al: 0.0000 0.5000 0.0000
Al: 0.2500 0.2500 0.7500
Al: 0.2500 0.7500 0.2500
Al: 0.5000 0.0000 0.0000
Al: 0.5000 0.5000 0.5000
Al: 0.7500 0.2500 0.2500
Al: 0.7500 0.7500 0.7500
Ni: 0.2500 0.2500 0.2500
Ni: 0.2500 0.7500 0.7500
Ni: 0.7500 0.2500 0.7500
Ni: 0.7500 0.7500 0.2500

Properties
Energy of formation from the pure elements: -2.3 kcal/mol of atoms
Uncorrected energy: -9.11 eV/atom
V: 191 Å³/cell
SG: No. 216

=====

Record 7
# BeReHg2

A PBEsol-optimized structure of BeReHg2 (SCAN, Alexandria via LeMat-Bulk).

abc: 10.5620 2.7757 4.9221
angles: 90.00 113.95 90.00
Sites, in units of the cell vectors:
Be: 0.0000 0.0000 0.0000
Be: 0.5000 0.5000 0.0000
Re: 0.3174 0.0000 0.6744
Re: 0.8174 0.5000 0.6744
Hg: 0.0550 0.5000 0.5304
Hg: 0.2733 0.5000 0.1438
Hg: 0.5550 0.0000 0.5304
Hg: 0.7733 0.0000 0.1438

Properties
Energy of formation from the pure elements: 15.3 kcal/mol of atoms
Uncorrected energy: -52.28 eV/atom
V: 132 Å³/cell
SG: No. 8

=====

Record 8
# Sm4S3N2

A PBEsol-optimized structure of Sm4S3N2 (SCAN, Alexandria via LeMat-Bulk).

abc: 6.8307 6.8307 10.0408
angles: 127.05 127.05 33.05
Sites, in units of the cell vectors:
Sm: 0.0647 0.0647 0.3584
Sm: 0.2556 0.2556 0.1478
Sm: 0.7444 0.7444 0.8522
Sm: 0.9353 0.9353 0.6416
S: 0.3295 0.3295 0.7180
S: 0.5000 0.5000 0.5000
S: 0.6705 0.6705 0.2820
N: 0.1464 0.1464 0.8596
N: 0.8536 0.8536 0.1404

Properties
Uncorrected energy: -27.21 eV/atom
V: 199 Å³/cell
SG: No. 12
Uncorrected formation energy: -2179 meV per atom